Here is a geometry-optimized LiCuSi2Pt structure from the Alexandria database. Energies are from PBE-GGA.

Unit cell a=4.6093 b=4.6744 c=4.6093 alpha=90.00 beta=90.00 gamma=90.00
Atoms (fractional coordinates):
Si 0.0000 0.0000 0.5000
Si 0.5000 0.0000 0.0000
Cu 0.5000 0.5000 0.5000
Pt 0.0000 0.0000 0.0000
Li 0.0000 0.5000 0.0000

Output
**Uncorrected formation energy**: 1.36 eV/f.u.



Here is a geometry-optimized LiSmCuPt structure from the Alexandria database. Energies are from PBE-GGA.

Unit cell a=4.7631 b=4.7631 c=4.7631 alpha=60.00 beta=60.00 gamma=60.00
Atoms (fractional coordinates):
Cu 0.0000 0.0000 0.0000
Sm 0.2500 0.2500 0.2500
Pt 0.5000 0.5000 0.5000
Li 0.7500 0.7500 0.7500

Output
**DFT formation energy**: -45.7 kJ per mole of atoms



Here is a geometry-optimized LiSm2CuPt2 structure from the Alexandria database. Energies are from PBE-GGA.

Unit cell a=5.7672 b=5.8399 c=8.3060 alpha=110.58 beta=110.31 gamma=90.00
Atoms (fractional coordinates):
Li 0.0000 0.7500 0.0000
Li 0.0000 0.2500 0.0000
Sm 0.4201 0.1675 0.3350
Sm 0.5799 0.8325 0.6650
Sm 0.0851 0.3325 0.6650
Sm 0.9149 0.6675 0.3350
Cu 0.5000 0.7500 0.0000
Cu 0.5000 0.2500 0.0000
Pt 0.8742 0.1229 0.2459
Pt 0.3717 0.6229 0.2459
Pt 0.6283 0.3771 0.7541
Pt 0.1258 0.8771 0.7541

Output
**DFT formation energy**: -78.1 kJ per mole of atoms



For each record above, in turn, the calculated total magnetization values are 0.00 0.00 0.00 μB per formula unit.